Record 1
Below is a geometry-optimized CsK2Ba structure, with properties calculated at the GGA-PBE level.

Lattice parameters (Å, degrees): 4.625 4.625 14.597 90.00 90.00 90.00
Space group P4/mmm (No. 123)
Asymmetric unit:
Cs  0.000  0.000  0.000 [1 per cell]
K  0.500  0.500  0.269 [2 per cell]
Ba  0.000  0.000  0.500 [1 per cell]

Results
Calculated total energy ... -1.165 eV/atom
Volume ... 312 Å³ per cell
E above lowest polymorph ... 0 meV/atom

Record 2
Below is a geometry-optimized Ac3P2Rh2N3 structure, with properties calculated at the GGA-PBE level.

Lattice parameters (Å, degrees): 4.006 4.006 22.251 90.00 90.00 90.00
Space group I4/mmm (No. 139)
Asymmetric unit:
Ac  0.000  0.000  0.000 [2 per cell]
Ac  0.000  0.000  0.379 [4 per cell]
P  0.000  0.000  0.192 [4 per cell]
Rh  0.000  0.500  0.250 [4 per cell]
N  0.000  0.000  0.116 [4 per cell]
N  0.000  0.000  0.500 [2 per cell]

Results
Calculated total energy ... -7.430 eV/atom
ΔE_f (raw) ... -1.15 eV/atom
Volume ... 357 Å³ per cell

Record 3
Below is a geometry-optimized YNiSe2N structure, with properties calculated at the GGA-PBE level.

Lattice parameters (Å, degrees): 5.484 5.484 4.381 90.00 90.00 90.00
Space group P4/mmm (No. 123)
Asymmetric unit:
Y  0.000  0.000  0.000 [1 per cell]
Ni  0.500  0.500  0.500 [1 per cell]
Se  0.000  0.500  0.000 [2 per cell]
N  0.000  0.000  0.500 [1 per cell]

Results
Calculated total energy ... -4.878 eV/atom
ΔE_f (raw) ... 0.63 eV/atom
Volume ... 132 Å³ per cell
E above lowest polymorph ... 995 meV/atom

Record 4
Below is a geometry-optimized Dy7Sc5 structure, with properties calculated at the GGA-PBE level.

Lattice parameters (Å, degrees): 9.350 5.406 14.142 90.00 102.73 90.00
Space group C2/m (No. 12)
Asymmetric unit:
Dy  0.000  0.000  0.000 [2 per cell]
Dy  0.069  0.500  0.712 [4 per cell]
Dy  0.191  0.000  0.575 [4 per cell]
Dy  0.224  0.500  0.170 [4 per cell]
Sc  0.000  0.500  0.500 [2 per cell]
Sc  0.105  0.000  0.311 [4 per cell]
Sc  0.148  0.500  0.944 [4 per cell]

Results
Calculated total energy ... -5.150 eV/atom
Volume ... 697 Å³ per cell
E above lowest polymorph ... 122 meV/atom

Which of these has the highest calculated total energy? CsK2Ba

calculated total energy of number 3 (YNiSe2N)? -4.878 eV/atom

Number 4 is which compound? Dy7Sc5

What is the formula in the first record? CsK2Ba